Below is a relaxed structure of ZnGaIr, with properties calculated at the PBE-GGA level.

Properties
- space group = Cmcm, No. 63
- DFT formation energy (eV per atom) = -0.195

```
ZnGaIr
1.0
1.424 -5.589 0.000
1.424 5.589 0.000
0.000 0.000 5.970
Zn Ga Ir
2 2 2
Direct
0.151 0.849 0.750 Zn
0.849 0.151 0.250 Zn
0.141 0.859 0.250 Ga
0.859 0.141 0.750 Ga
0.500 0.500 0.000 Ir
0.500 0.500 0.500 Ir
```